Entry 1:
KSc2Al: relaxed, GGA-PBE.

Lattice parameters (Å, degrees): 3.4245 3.4245 33.5183 90.00 90.00 120.00
Space group R-3m (No. 166, hexagonal axes)
Inequivalent atoms, fractional coordinates:
K: 0.0000 0.0000 0.0000 (multiplicity 3)
Sc: 0.0000 0.0000 0.2291 (multiplicity 6)
Al: 0.0000 0.0000 0.5000 (multiplicity 3)

Output
- energy of formation (eV per atom) = 0.20

Entry 2:
CaHgAs2: relaxed, GGA-PBE.

Lattice parameters (Å, degrees): 3.046 3.046 10.769 90.00 90.00 90.00
Space group P4/mmm (No. 123)
Inequivalent atoms, fractional coordinates:
Ca: 0.000 0.000 0.000 (multiplicity 1)
Hg: 0.000 0.000 0.500 (multiplicity 1)
As: 0.500 0.500 0.206 (multiplicity 2)

Output
- energy of formation (eV per atom) = -0.17

Entry 3:
ZnTc2F2: relaxed, GGA-PBE.

Lattice parameters (Å, degrees): 3.438 3.438 10.994 90.00 90.00 90.00
Space group I4/mmm (No. 139)
Inequivalent atoms, fractional coordinates:
Zn: 0.000 0.000 0.000 (multiplicity 2)
Tc: 0.000 0.000 0.397 (multiplicity 4)
F: 0.000 0.500 0.250 (multiplicity 4)

Output
- E_form (uncorrected) (meV per atom) = -500
- polymorph energy (0 for the lowest one) (meV/atom) = 0.0

Entry 4:
NaSc2Ag2: relaxed, GGA-PBE.

Lattice parameters (Å, degrees): 8.390 8.390 3.182 90.00 90.00 90.00
Space group P4/mbm (No. 127)
Inequivalent atoms, fractional coordinates:
Na: 0.000 0.000 0.000 (multiplicity 2)
Sc: 0.138 0.362 0.000 (multiplicity 4)
Ag: 0.155 0.655 0.500 (multiplicity 4)

Output
- energy of formation (eV per atom) = -0.02
- polymorph energy (0 for the lowest one) (meV/atom) = 40.4

Entry 5:
La2HgI2: relaxed, GGA-PBE.

Lattice parameters (Å, degrees): 4.4073 4.4073 36.2394 90.00 90.00 120.00
Space group R-3m (No. 166, hexagonal axes)
Inequivalent atoms, fractional coordinates:
La: 0.0000 0.0000 0.1118 (multiplicity 6)
Hg: 0.0000 0.0000 0.5000 (multiplicity 3)
I: 0.0000 0.0000 0.2790 (multiplicity 6)

Output
- E_form (uncorrected) (meV per atom) = -1002
- polymorph energy (0 for the lowest one) (meV/atom) = 0.0

Entry 6:
LaErTeO6: relaxed, GGA-PBE.

Lattice parameters (Å, degrees): 5.5810 5.5810 10.0964 90.00 90.00 120.00
Space group P-31c (No. 163)
Inequivalent atoms, fractional coordinates:
La: 0.0000 0.0000 0.0000 (multiplicity 2)
Er: 0.3333 0.6667 0.2500 (multiplicity 2)
Te: 0.3333 0.6667 0.7500 (multiplicity 2)
O: 0.0392 0.3805 0.6406 (multiplicity 12)

Output
- E_form (uncorrected) (meV per atom) = -2498

Entry 7:
HSe3: relaxed, GGA-PBE.

Lattice parameters (Å, degrees): 3.507 5.370 4.152 90.00 90.00 90.00
Space group Pmm2 (No. 25)
Inequivalent atoms, fractional coordinates:
H: 0.000 0.000 0.000 (multiplicity 1)
Se: 0.000 0.500 0.496 (multiplicity 1)
Se: 0.500 0.000 0.882 (multiplicity 1)
Se: 0.500 0.500 0.013 (multiplicity 1)

Entry 8:
Cd3Ni: relaxed, GGA-PBE.

Lattice parameters (Å, degrees): 3.0569 3.0569 9.3905 90.00 90.00 120.00
Space group P-6m2 (No. 187)
Inequivalent atoms, fractional coordinates:
Cd: 0.0000 0.0000 0.0000 (multiplicity 1)
Cd: 0.6667 0.3333 0.2838 (multiplicity 2)
Ni: 0.0000 0.0000 0.5000 (multiplicity 1)

Output
- energy of formation (eV per atom) = 0.10

Entry 9:
Dy4ErTm15: relaxed, GGA-PBE.

Lattice parameters (Å, degrees): 4.939 4.939 24.697 90.00 90.00 90.00
Space group P4/mmm (No. 123)
Inequivalent atoms, fractional coordinates:
Dy: 0.000 0.000 0.100 (multiplicity 2)
Dy: 0.000 0.000 0.300 (multiplicity 2)
Er: 0.000 0.000 0.500 (multiplicity 1)
Tm: 0.000 0.500 0.000 (multiplicity 2)
Tm: 0.000 0.500 0.200 (multiplicity 4)
Tm: 0.000 0.500 0.400 (multiplicity 4)
Tm: 0.500 0.500 0.100 (multiplicity 2)
Tm: 0.500 0.500 0.300 (multiplicity 2)
Tm: 0.500 0.500 0.500 (multiplicity 1)

Output
- energy of formation (eV per atom) = 0.03

Entry 10:
BaSrRh2: relaxed, GGA-PBE.

Lattice parameters (Å, degrees): 3.666 3.666 8.919 90.00 90.00 90.00
Space group P4mm (No. 99)
Inequivalent atoms, fractional coordinates:
Ba: 0.000 0.000 0.000 (multiplicity 1)
Sr: 0.500 0.500 0.562 (multiplicity 1)
Rh: 0.000 0.000 0.326 (multiplicity 1)
Rh: 0.500 0.500 0.248 (multiplicity 1)

Output
- energy of formation (eV per atom) = 0.09
- polymorph energy (0 for the lowest one) (meV/atom) = 269.6

Entry 11:
KSrTiSe3: relaxed, GGA-PBE.

Lattice parameters (Å, degrees): 16.954 4.977 8.888 90.00 105.09 90.00
Space group C2/m (No. 12)
Inequivalent atoms, fractional coordinates:
K: 0.144 0.000 0.070 (multiplicity 4)
Sr: 0.158 0.000 0.581 (multiplicity 4)
Ti: 0.000 0.500 0.321 (multiplicity 4)
Se: 0.003 0.000 0.296 (multiplicity 4)
Se: 0.149 0.500 0.805 (multiplicity 4)
Se: 0.153 0.500 0.343 (multiplicity 4)

Output
- E_form (uncorrected) (meV per atom) = -1306

Entry 12:
Al2GePd5Au2: relaxed, GGA-PBE.

Lattice parameters (Å, degrees): 9.328 9.328 3.691 90.00 90.00 90.00
Space group P4/mbm (No. 127)
Inequivalent atoms, fractional coordinates:
Al: 0.131 0.369 0.000 (multiplicity 4)
Ge: 0.000 0.000 0.000 (multiplicity 2)
Pd: 0.000 0.500 0.500 (multiplicity 2)
Pd: 0.090 0.189 0.500 (multiplicity 8)
Au: 0.164 0.664 0.000 (multiplicity 4)

Output
- energy of formation (eV per atom) = -0.47

Sequential raw total energy output: -16.714 -12.270 -28.248 -19.802 -18.265 -64.863 -12.680 -8.139 -89.536 -17.964 -28.965 -49.302 eV per formula unit
Sequential calculated volume output: 28.37 24.98 13.00 22.40 40.64 15.13 19.55 19.00 30.12 29.96 30.17 16.06 A^3/atom